# Zr2PbC, optimized geometry, DFT PBE-GGA
data_Zr2PbC
_space_group_name_H-M_alt 'R -3 m'
_space_group_IT_number 166
_space_group_name_Hall '-R 3 2"'
_cell_length_a 3.4272
_cell_length_b 3.4272
_cell_length_c 22.5833
_cell_angle_alpha 90.00
_cell_angle_beta 90.00
_cell_angle_gamma 120.00
loop_
_atom_site_label
_atom_site_fract_x
_atom_site_fract_y
_atom_site_fract_z
Zr1 0.0000 0.0000 0.2202
Pb1 0.0000 0.0000 0.0000
C1 0.0000 0.0000 0.5000
# size of the total moment	0.0	μB per formula unit
# formation energy	-0.622	eV per atom
# D(E_F)	2.466	states/eV/f.u.